(1)
An optimized crystal structure of AsH2Pd6, computed with PBE.

a b c (Å): 4.057 5.443 6.256
angles (deg): 82.25 71.08 68.12
Atoms (fractional coordinates):
As: 0.000 0.500 0.500
H: 0.169 0.826 0.836
H: 0.831 0.174 0.164
Pd: 0.687 0.782 0.843
Pd: 0.313 0.218 0.157
Pd: 0.026 0.789 0.160
Pd: 0.351 0.793 0.505
Pd: 0.974 0.211 0.840
Pd: 0.649 0.207 0.495

Computed properties:
Symmetry: No. 12

(2)
An optimized crystal structure of AsH2Pd, computed with PBE.

a b c (Å): 3.871 3.871 3.871
angles (deg): 60.00 60.00 60.00
Atoms (fractional coordinates):
H: 0.250 0.250 0.250
H: 0.750 0.750 0.750
As: 0.000 0.000 0.000
Pd: 0.500 0.500 0.500

Computed properties:
Symmetry: No. 225

(3)
An optimized crystal structure of AsH4Pd8, computed with PBE.

a b c (Å): 5.610 5.610 5.610
angles (deg): 74.36 74.36 74.36
Atoms (fractional coordinates):
As: 0.000 0.000 0.000
H: 0.500 0.500 0.500
H: 0.500 0.500 0.000
H: 0.000 0.500 0.500
H: 0.500 0.000 0.500
Pd: 0.680 0.265 0.265
Pd: 0.265 0.265 0.680
Pd: 0.265 0.680 0.265
Pd: 0.209 0.209 0.209
Pd: 0.791 0.791 0.791
Pd: 0.735 0.735 0.320
Pd: 0.735 0.320 0.735
Pd: 0.320 0.735 0.735

Computed properties:
Symmetry: No. 166

(4)
An optimized crystal structure of AsH4Pd12, computed with PBE.

a b c (Å): 6.556 6.556 6.556
angles (deg): 109.47 109.47 109.47
Atoms (fractional coordinates):
As: 0.000 0.000 0.000
H: 0.000 0.500 0.000
H: 0.500 0.000 0.000
H: 0.500 0.500 0.500
H: 0.000 0.000 0.500
Pd: 0.817 0.308 0.126
Pd: 0.308 0.491 0.183
Pd: 0.874 0.183 0.692
Pd: 0.308 0.126 0.817
Pd: 0.126 0.817 0.308
Pd: 0.692 0.509 0.817
Pd: 0.491 0.183 0.308
Pd: 0.509 0.817 0.692
Pd: 0.692 0.874 0.183
Pd: 0.817 0.692 0.509
Pd: 0.183 0.308 0.491
Pd: 0.183 0.692 0.874

Computed properties:
Symmetry: No. 204

(5)
An optimized crystal structure of AsH4Pd5, computed with PBE.

a b c (Å): 5.112 5.555 7.910
angles (deg): 90.00 90.00 90.00
Atoms (fractional coordinates):
As: 0.930 0.000 0.000
As: 0.070 0.500 0.500
H: 0.406 0.000 0.728
H: 0.453 0.716 0.000
H: 0.453 0.284 0.000
H: 0.406 0.000 0.272
H: 0.594 0.500 0.228
H: 0.547 0.784 0.500
H: 0.547 0.216 0.500
H: 0.594 0.500 0.772
Pd: 0.244 0.743 0.822
Pd: 0.244 0.257 0.822
Pd: 0.737 0.500 0.000
Pd: 0.244 0.743 0.178
Pd: 0.244 0.257 0.178
Pd: 0.756 0.757 0.322
Pd: 0.756 0.243 0.322
Pd: 0.263 0.000 0.500
Pd: 0.756 0.243 0.678
Pd: 0.756 0.757 0.678

Computed properties:
Symmetry: No. 59

(6)
An optimized crystal structure of AsHPd3, computed with PBE.

a b c (Å): 3.874 6.000 6.000
angles (deg): 75.26 90.59 90.60
Atoms (fractional coordinates):
As: 0.987 0.159 0.597
As: 0.498 0.746 0.185
H: 0.742 0.617 0.726
H: 0.743 0.287 0.056
Pd: 0.488 0.342 0.781
Pd: 0.997 0.562 0.001
Pd: 0.483 0.280 0.314
Pd: 0.483 0.875 0.719
Pd: 0.001 0.029 0.063
Pd: 0.001 0.625 0.469

Computed properties:
Symmetry: No. 12

| no. | VASP energy (Ry per atom) |
| --- | --- |
| 1 | -0.358 |
| 2 | -0.257 |
| 3 | -0.342 |
| 4 | -0.350 |
| 5 | -0.327 |
| 6 | -0.364 |